No. 1
# SmThCuSi

SmThCuSi after structural relaxation (PBE-GGA, Alexandria via LeMat-Bulk).

Unit cell a=5.0686 b=5.0686 c=5.0686 alpha=60.00 beta=60.00 gamma=60.00
Closest atoms and distances in Å follow each position.
Sites, in units of the cell vectors:
1 Si 0.7500 0.7500 0.7500  4 Sm 3.10, 4 Th 3.10
2 Cu 0.2500 0.2500 0.2500  4 Sm 3.10, 4 Th 3.10
3 Sm 0.5000 0.5000 0.5000  4 Si 3.10, 4 Cu 3.10
4 Th 0.0000 0.0000 0.0000  4 Si 3.10, 4 Cu 3.10

Fermi-level density of states: 0.8304 states/eV/atom
Magnetic moment: 0.000 μB per formula unit
Energy relative to the elements, uncorrected: -310 meV per atom

No. 2
# SmTm2Cu2Si2

SmTm2Cu2Si2 after structural relaxation (PBE-GGA, Alexandria via LeMat-Bulk).

Unit cell a=4.2135 b=4.2135 c=9.5491 alpha=77.25 beta=77.25 gamma=60.00
Closest atoms and distances in Å follow each position.
Sites, in units of the cell vectors:
1 Sm 0.0000 0.0000 0.0000  6 Cu 3.12, 6 Si 3.17
2 Tm 0.1276 0.1276 0.6173  3 Si 2.86, 3 Cu 2.90
3 Tm 0.8724 0.8724 0.3827  3 Si 2.86, 3 Cu 2.90
4 Cu 0.5960 0.5960 0.2121  3 Si 2.43
5 Cu 0.4040 0.4040 0.7879  3 Si 2.43
6 Si 0.7399 0.7399 0.7804  3 Cu 2.43
7 Si 0.2601 0.2601 0.2196  3 Cu 2.43

Fermi-level density of states: 0.5539 states/eV/atom
Magnetic moment: 0.000 μB per formula unit
Energy relative to the elements, uncorrected: -481 meV per atom

No. 3
# SmYCu2Si2

SmYCu2Si2 after structural relaxation (PBE-GGA, Alexandria via LeMat-Bulk).

Unit cell a=4.1748 b=4.1748 c=7.6232 alpha=90.00 beta=90.00 gamma=120.00
Closest atoms and distances in Å follow each position.
Sites, in units of the cell vectors:
1 Sm 0.0000 0.0000 0.0000  6 Si 3.10, 6 Cu 3.11
2 Y 0.0000 0.0000 0.5000  6 Cu 3.03, 6 Si 3.05
3 Cu 0.3333 0.6667 0.7414  3 Si 2.41
4 Cu 0.6667 0.3333 0.2586  3 Si 2.41
5 Si 0.3333 0.6667 0.2556  3 Cu 2.41
6 Si 0.6667 0.3333 0.7444  3 Cu 2.41

Fermi-level density of states: 0.3262 states/eV/atom
Magnetic moment: 0.000 μB per formula unit
Energy relative to the elements, uncorrected: -664 meV per atom

No. 4
# Sm2ZnCu4Si3

Sm2ZnCu4Si3 after structural relaxation (PBE-GGA, Alexandria via LeMat-Bulk).

Unit cell a=4.0674 b=4.0674 c=10.0106 alpha=90.00 beta=90.00 gamma=90.00
Closest atoms and distances in Å follow each position.
Sites, in units of the cell vectors:
1 Sm 0.5000 0.0000 0.2434  6 Si 3.09-3.28, 8 Cu 3.12-3.17, 2 Zn 3.28
2 Sm 0.0000 0.5000 0.7566  6 Si 3.09-3.28, 8 Cu 3.12-3.17, 2 Zn 3.28
3 Zn 0.5000 0.5000 0.5000  4 Cu 2.44
4 Cu 0.5000 0.5000 0.0000  4 Si 2.42
5 Cu 0.0000 0.0000 0.0000  4 Si 2.42
6 Cu 0.5000 0.0000 0.6352  3 Si 2.34-2.44, 2 Zn 2.44
7 Cu 0.0000 0.5000 0.3648  3 Si 2.34-2.44, 2 Zn 2.44
8 Si 0.0000 0.0000 0.5000  4 Cu 2.44
9 Si 0.5000 0.0000 0.8689  5 Cu 2.34-2.42
10 Si 0.0000 0.5000 0.1311  5 Cu 2.34-2.42

Fermi-level density of states: 0.4476 states/eV/atom
Magnetic moment: 0.000 μB per formula unit
Energy relative to the elements, uncorrected: -509 meV per atom

No. 5
# SmZnCuSi2

SmZnCuSi2 after structural relaxation (PBE-GGA, Alexandria via LeMat-Bulk).

Unit cell a=4.0755 b=4.0755 c=5.8770 alpha=110.29 beta=110.29 gamma=90.00
Closest atoms and distances in Å follow each position.
Sites, in units of the cell vectors:
1 Sm 0.0000 0.0000 0.0000  8 Si 3.11, 4 Cu 3.27, 4 Zn 3.27
2 Zn 0.7500 0.2500 0.5000  4 Si 2.46
3 Cu 0.2500 0.7500 0.5000  4 Si 2.46
4 Si 0.6151 0.6151 0.2301  1 Si 2.36, 2 Cu 2.46, 2 Zn 2.46
5 Si 0.3849 0.3849 0.7699  1 Si 2.36, 2 Cu 2.46, 2 Zn 2.46

Fermi-level density of states: 0.3473 states/eV/atom
Magnetic moment: 0.000 μB per formula unit
Energy relative to the elements, uncorrected: -488 meV per atom

No. 6
# Cu2Si2Sn

Cu2Si2Sn after structural relaxation (PBE-GGA, Alexandria via LeMat-Bulk).

Unit cell a=3.7727 b=3.7727 c=6.2737 alpha=72.50 beta=72.50 gamma=90.00
Closest atoms and distances in Å follow each position.
Sites, in units of the cell vectors:
1 Si 0.7500 0.2500 0.5000  4 Cu 2.46, 4 Si 2.67
2 Si 0.2500 0.7500 0.5000  4 Cu 2.46, 4 Si 2.67
3 Sn 0.0000 0.0000 0.0000  8 Cu 2.95
4 Cu 0.3888 0.3888 0.2224  4 Si 2.46, 1 Cu 2.53
5 Cu 0.6112 0.6112 0.7776  4 Si 2.46, 1 Cu 2.53

Fermi-level density of states: 0.4496 states/eV/atom
Energy relative to the lowest polymorph listed for this composition: 10 meV/atom
Magnetic moment: 0.000 μB per formula unit
Energy relative to the elements, uncorrected: 139 meV per atom

No. 7
# Cu4SiSn

Cu4SiSn after structural relaxation (PBE-GGA, Alexandria via LeMat-Bulk).

Unit cell a=4.9830 b=4.9830 c=4.9830 alpha=60.00 beta=60.00 gamma=60.00
Closest atoms and distances in Å follow each position.
Sites, in units of the cell vectors:
1 Si 0.0000 0.0000 0.0000  12 Cu 2.92, 4 Sn 3.05
2 Sn 0.2500 0.2500 0.2500  12 Cu 2.92, 4 Si 3.05
3 Cu 0.6255 0.6255 0.1235  6 Cu 2.48-2.50
4 Cu 0.6255 0.1235 0.6255  6 Cu 2.48-2.50
5 Cu 0.6255 0.6255 0.6255  6 Cu 2.48-2.50
6 Cu 0.1235 0.6255 0.6255  6 Cu 2.48-2.50

Fermi-level density of states: 0.2709 states/eV/atom
Magnetic moment: 0.000 μB per formula unit
Energy relative to the elements, uncorrected: 164 meV per atom

No. 8
# Cu3SiSn

Cu3SiSn after structural relaxation (PBE-GGA, Alexandria via LeMat-Bulk).

Unit cell a=4.7907 b=4.7907 c=4.7907 alpha=90.00 beta=90.00 gamma=90.00
Closest atoms and distances in Å follow each position.
Sites, in units of the cell vectors:
1 Si 0.5000 0.5000 0.5000  12 Cu 3.39
2 Sn 0.0000 0.0000 0.0000  6 Cu 2.40
3 Cu 0.0000 0.5000 0.0000  2 Sn 2.40
4 Cu 0.0000 0.0000 0.5000  2 Sn 2.40
5 Cu 0.5000 0.0000 0.0000  2 Sn 2.40

Fermi-level density of states: 0.3959 states/eV/atom
Energy relative to the lowest polymorph listed for this composition: 711 meV/atom
Magnetic moment: 0.000 μB per formula unit
Energy relative to the elements, uncorrected: 1035 meV per atom

No. 9
# Cu2Si2Sn

Cu2Si2Sn after structural relaxation (PBE-GGA, Alexandria via LeMat-Bulk).

Unit cell a=4.0608 b=4.0608 c=5.7827 alpha=69.44 beta=69.44 gamma=90.00
Closest atoms and distances in Å follow each position.
Sites, in units of the cell vectors:
1 Si 0.3833 0.3833 0.2335  1 Si 2.34, 4 Cu 2.43
2 Si 0.6167 0.6167 0.7665  1 Si 2.34, 4 Cu 2.43
3 Sn 0.0000 0.0000 0.0000  8 Si 3.10, 8 Cu 3.23
4 Cu 0.7500 0.2500 0.5000  4 Si 2.43
5 Cu 0.2500 0.7500 0.5000  4 Si 2.43

Fermi-level density of states: 0.4524 states/eV/atom
Energy relative to the lowest polymorph listed for this composition: 0 meV/atom
Magnetic moment: 0.000 μB per formula unit
Energy relative to the elements, uncorrected: 129 meV per atom

No. 10
# CuSi2Sn2

CuSi2Sn2 after structural relaxation (PBE-GGA, Alexandria via LeMat-Bulk).

Unit cell a=3.4234 b=3.4234 c=8.8930 alpha=78.90 beta=78.90 gamma=90.00
Closest atoms and distances in Å follow each position.
Sites, in units of the cell vectors:
1 Si 0.7500 0.2500 0.5000  4 Si 2.42
2 Si 0.2500 0.7500 0.5000  4 Si 2.42
3 Sn 0.4023 0.4023 0.1954  4 Cu 2.94, 4 Si 3.12
4 Sn 0.5977 0.5977 0.8046  4 Cu 2.94, 4 Si 3.12
5 Cu 0.0000 0.0000 0.0000  8 Sn 2.94

Fermi-level density of states: 0.4362 states/eV/atom
Energy relative to the lowest polymorph listed for this composition: 27 meV/atom
Magnetic moment: 0.000 μB per formula unit
Energy relative to the elements, uncorrected: 284 meV per atom

No. 11
# Cu2SiSn2

Cu2SiSn2 after structural relaxation (PBE-GGA, Alexandria via LeMat-Bulk).

Unit cell a=6.6624 b=6.6624 c=4.1900 alpha=90.00 beta=90.00 gamma=90.00
Closest atoms and distances in Å follow each position.
Sites, in units of the cell vectors:
1 Si 0.0000 0.0000 0.0000  4 Cu 2.59
2 Si 0.5000 0.5000 0.0000  4 Cu 2.59
3 Sn 0.1721 0.6721 0.5000  6 Cu 2.77-2.94
4 Sn 0.6721 0.8279 0.5000  6 Cu 2.77-2.94
5 Sn 0.8279 0.3279 0.5000  6 Cu 2.77-2.94
6 Sn 0.3279 0.1721 0.5000  6 Cu 2.77-2.94
7 Cu 0.3645 0.8645 0.0000  1 Cu 2.55, 2 Si 2.59, 2 Sn 2.77
8 Cu 0.8645 0.6355 0.0000  1 Cu 2.55, 2 Si 2.59, 2 Sn 2.77
9 Cu 0.6355 0.1355 0.0000  1 Cu 2.55, 2 Si 2.59, 2 Sn 2.77
10 Cu 0.1355 0.3645 0.0000  1 Cu 2.55, 2 Si 2.59, 2 Sn 2.77

Fermi-level density of states: 0.5005 states/eV/atom
Magnetic moment: 0.000 μB per formula unit
Energy relative to the elements, uncorrected: 225 meV per atom

No. 12
# CuSi3Sn

CuSi3Sn after structural relaxation (PBE-GGA, Alexandria via LeMat-Bulk).

Unit cell a=4.6060 b=4.6060 c=4.6060 alpha=90.00 beta=90.00 gamma=90.00
Closest atoms and distances in Å follow each position.
Sites, in units of the cell vectors:
1 Si 0.0000 0.5000 0.0000  2 Cu 2.30
2 Si 0.0000 0.0000 0.5000  2 Cu 2.30
3 Si 0.5000 0.0000 0.0000  2 Cu 2.30
4 Sn 0.5000 0.5000 0.5000  12 Si 3.26
5 Cu 0.0000 0.0000 0.0000  6 Si 2.30

Fermi-level density of states: 0.4961 states/eV/atom
Energy relative to the lowest polymorph listed for this composition: 0 meV/atom
Magnetic moment: 0.000 μB per formula unit
Energy relative to the elements, uncorrected: 643 meV per atom

| no. | E (eV/atom) |
| --- | --- |
| 1 | -5.72 |
| 2 | -5.15 |
| 3 | -5.70 |
| 4 | -4.85 |
| 5 | -4.67 |
| 6 | -4.47 |
| 7 | -4.14 |
| 8 | -3.31 |
| 9 | -4.48 |
| 10 | -4.31 |
| 11 | -4.10 |
| 12 | -4.23 |